# ZrSiHg | Alexandria | PBE | relaxed
# Density of states at the Fermi level = 0.466 states/eV per atom
# ΔE_f (raw) = -0.068 eV/atom
# ΔE to the lowest computed polymorph = 4.5 kJ per mole of atoms
data_ZrSiHg
_chemical_formula_sum 'Zr1 Si1 Hg1'
_cell_length_a 5.867
_cell_length_b 5.867
_cell_length_c 5.867
_cell_angle_alpha 150.33
_cell_angle_beta 142.90
_cell_angle_gamma 48.21
_space_group_name_H-M_alt 'P 1'
_space_group_IT_number 1
loop_
_space_group_symop_operation_xyz
'x,y,z'
loop_
_atom_site_label
_atom_site_type_symbol
_atom_site_fract_x
_atom_site_fract_y
_atom_site_fract_z
Zr1 Zr 0.000 0.000 0.000
Si1 Si 0.366 0.366 0.000
Hg1 Hg 0.694 0.694 0.000